## i
A plane-wave DFT calculation with GGA-PBE was carried out for a geometry-optimized MgAg8Au2 structure.

## Properties
SG	C2/m, No. 12

Structure (CIF):
```
data_MgAg8Au2
_symmetry_space_group_name_H-M 'P 1'
_symmetry_Int_Tables_number 1
_cell_length_a 7.767
_cell_length_b 7.767
_cell_length_c 6.574
_cell_angle_alpha 104.49
_cell_angle_beta 104.49
_cell_angle_gamma 30.95
loop_
_symmetry_equiv_pos_as_xyz
'x,y,z'
loop_
_atom_site_label
_atom_site_fract_x
_atom_site_fract_y
_atom_site_fract_z
Mg1 0.000 0.000 0.000
Ag1 0.090 0.090 0.453
Ag2 0.182 0.182 0.911
Ag3 0.365 0.365 0.818
Ag4 0.454 0.454 0.271
Ag5 0.546 0.546 0.729
Ag6 0.635 0.635 0.182
Ag7 0.818 0.818 0.089
Ag8 0.910 0.910 0.547
Au1 0.273 0.273 0.363
Au2 0.727 0.727 0.637
```

=====

## ii
A plane-wave DFT calculation with GGA-PBE was carried out for a geometry-optimized MgAg8Au2 structure.

## Properties
SG	C2/m, No. 12

Structure (CIF):
```
data_MgAg8Au2
_symmetry_space_group_name_H-M 'P 1'
_symmetry_Int_Tables_number 1
_cell_length_a 7.268
_cell_length_b 7.268
_cell_length_c 4.891
_cell_angle_alpha 101.11
_cell_angle_beta 101.11
_cell_angle_gamma 61.98
loop_
_symmetry_equiv_pos_as_xyz
'x,y,z'
loop_
_atom_site_label
_atom_site_fract_x
_atom_site_fract_y
_atom_site_fract_z
Mg1 0.000 0.000 0.000
Ag1 0.228 0.228 0.096
Ag2 0.247 0.618 0.210
Ag3 0.354 0.354 0.668
Ag4 0.382 0.753 0.790
Ag5 0.618 0.247 0.210
Ag6 0.646 0.646 0.332
Ag7 0.753 0.382 0.790
Ag8 0.772 0.772 0.904
Au1 0.118 0.118 0.531
Au2 0.882 0.882 0.469
```

=====

Most stable: i

=====

## i
A plane-wave DFT calculation with GGA-PBE was carried out for a geometry-optimized Mg2AgAu structure.

## Properties
SG	R3m, No. 160

Structure (CIF):
```
data_Mg2AgAu
_symmetry_space_group_name_H-M 'P 1'
_symmetry_Int_Tables_number 1
_cell_length_a 7.227
_cell_length_b 7.227
_cell_length_c 7.227
_cell_angle_alpha 30.25
_cell_angle_beta 30.25
_cell_angle_gamma 30.25
loop_
_symmetry_equiv_pos_as_xyz
'x,y,z'
loop_
_atom_site_label
_atom_site_fract_x
_atom_site_fract_y
_atom_site_fract_z
Mg1 0.000 0.000 0.000
Mg2 0.174 0.174 0.174
Ag1 0.423 0.423 0.423
Au1 0.585 0.585 0.585
```

=====

## ii
A plane-wave DFT calculation with GGA-PBE was carried out for a geometry-optimized Mg2AgAu structure.

## Properties
SG	Cm, No. 8

Structure (CIF):
```
data_Mg2AgAu
_symmetry_space_group_name_H-M 'P 1'
_symmetry_Int_Tables_number 1
_cell_length_a 5.292
_cell_length_b 5.292
_cell_length_c 4.671
_cell_angle_alpha 107.21
_cell_angle_beta 107.21
_cell_angle_gamma 36.58
loop_
_symmetry_equiv_pos_as_xyz
'x,y,z'
loop_
_atom_site_label
_atom_site_fract_x
_atom_site_fract_y
_atom_site_fract_z
Mg1 0.000 0.000 0.000
Mg2 0.226 0.226 0.658
Ag1 0.747 0.747 0.176
Au1 0.489 0.489 0.497
```

=====

## iii
A plane-wave DFT calculation with GGA-PBE was carried out for a geometry-optimized Mg2AgAu structure.

## Properties
SG	P4mm, No. 99

Structure (CIF):
```
data_Mg2AgAu
_symmetry_space_group_name_H-M 'P 1'
_symmetry_Int_Tables_number 1
_cell_length_a 3.610
_cell_length_b 3.610
_cell_length_c 5.829
_cell_angle_alpha 90.00
_cell_angle_beta 90.00
_cell_angle_gamma 90.00
loop_
_symmetry_equiv_pos_as_xyz
'x,y,z'
loop_
_atom_site_label
_atom_site_fract_x
_atom_site_fract_y
_atom_site_fract_z
Mg1 0.000 0.000 0.000
Mg2 0.500 0.500 0.308
Ag1 0.000 0.000 0.514
Au1 0.500 0.500 0.807
```

=====

## iv
A plane-wave DFT calculation with GGA-PBE was carried out for a geometry-optimized Mg2AgAu structure.

## Properties
SG	F-43m, No. 216

Structure (CIF):
```
data_Mg2AgAu
_symmetry_space_group_name_H-M 'P 1'
_symmetry_Int_Tables_number 1
_cell_length_a 4.705
_cell_length_b 4.705
_cell_length_c 4.705
_cell_angle_alpha 60.00
_cell_angle_beta 60.00
_cell_angle_gamma 60.00
loop_
_symmetry_equiv_pos_as_xyz
'x,y,z'
loop_
_atom_site_label
_atom_site_fract_x
_atom_site_fract_y
_atom_site_fract_z
Mg1 0.000 0.000 0.000
Mg2 0.250 0.250 0.250
Ag1 0.750 0.750 0.750
Au1 0.500 0.500 0.500
```

=====

Most stable: ii

=====

## i
A plane-wave DFT calculation with GGA-PBE was carried out for a geometry-optimized Mg2AgAu structure.

## Properties
SG	P4/mmm, No. 123

Structure (CIF):
```
data_Mg2AgAu
_symmetry_space_group_name_H-M 'P 1'
_symmetry_Int_Tables_number 1
_cell_length_a 4.659
_cell_length_b 4.659
_cell_length_c 3.352
_cell_angle_alpha 90.00
_cell_angle_beta 90.00
_cell_angle_gamma 90.00
loop_
_symmetry_equiv_pos_as_xyz
'x,y,z'
loop_
_atom_site_label
_atom_site_fract_x
_atom_site_fract_y
_atom_site_fract_z
Mg1 0.000 0.500 0.000
Mg2 0.500 0.000 0.000
Ag1 0.000 0.000 0.500
Au1 0.500 0.500 0.500
```

=====

## ii
A plane-wave DFT calculation with GGA-PBE was carried out for a geometry-optimized Mg2AgAu structure.

## Properties
SG	R-3m, No. 166

Structure (CIF):
```
data_Mg2AgAu
_symmetry_space_group_name_H-M 'P 1'
_symmetry_Int_Tables_number 1
_cell_length_a 9.176
_cell_length_b 9.176
_cell_length_c 9.176
_cell_angle_alpha 19.63
_cell_angle_beta 19.63
_cell_angle_gamma 19.63
loop_
_symmetry_equiv_pos_as_xyz
'x,y,z'
loop_
_atom_site_label
_atom_site_fract_x
_atom_site_fract_y
_atom_site_fract_z
Mg1 0.247 0.247 0.247
Mg2 0.753 0.753 0.753
Ag1 0.000 0.000 0.000
Au1 0.500 0.500 0.500
```

=====

## iii
A plane-wave DFT calculation with GGA-PBE was carried out for a geometry-optimized Mg2AgAu structure.

## Properties
SG	Fm-3m, No. 225

Structure (CIF):
```
data_Mg2AgAu
_symmetry_space_group_name_H-M 'P 1'
_symmetry_Int_Tables_number 1
_cell_length_a 4.682
_cell_length_b 4.682
_cell_length_c 4.682
_cell_angle_alpha 60.00
_cell_angle_beta 60.00
_cell_angle_gamma 60.00
loop_
_symmetry_equiv_pos_as_xyz
'x,y,z'
loop_
_atom_site_label
_atom_site_fract_x
_atom_site_fract_y
_atom_site_fract_z
Mg1 0.250 0.250 0.250
Mg2 0.750 0.750 0.750
Ag1 0.000 0.000 0.000
Au1 0.500 0.500 0.500
```

=====

## iv
A plane-wave DFT calculation with GGA-PBE was carried out for a geometry-optimized Mg2AgAu structure.

## Properties
SG	I-4m2, No. 119

Structure (CIF):
```
data_Mg2AgAu
_symmetry_space_group_name_H-M 'P 1'
_symmetry_Int_Tables_number 1
_cell_length_a 5.285
_cell_length_b 5.285
_cell_length_c 5.285
_cell_angle_alpha 135.06
_cell_angle_beta 135.06
_cell_angle_gamma 65.44
loop_
_symmetry_equiv_pos_as_xyz
'x,y,z'
loop_
_atom_site_label
_atom_site_fract_x
_atom_site_fract_y
_atom_site_fract_z
Mg1 0.000 0.000 0.000
Mg2 0.750 0.250 0.500
Ag1 0.500 0.500 0.000
Au1 0.250 0.750 0.500
```

=====

Most stable: iii

=====

## i
A plane-wave DFT calculation with GGA-PBE was carried out for a geometry-optimized Mg2AgAu structure.

## Properties
SG	I-42d, No. 122

Structure (CIF):
```
data_Mg2AgAu
_symmetry_space_group_name_H-M 'P 1'
_symmetry_Int_Tables_number 1
_cell_length_a 6.027
_cell_length_b 6.027
_cell_length_c 6.027
_cell_angle_alpha 103.34
_cell_angle_beta 103.34
_cell_angle_gamma 122.59
loop_
_symmetry_equiv_pos_as_xyz
'x,y,z'
loop_
_atom_site_label
_atom_site_fract_x
_atom_site_fract_y
_atom_site_fract_z
Mg1 0.113 0.625 0.988
Mg2 0.375 0.363 0.488
Mg3 0.637 0.125 0.012
Mg4 0.875 0.887 0.512
Ag1 0.250 0.750 0.500
Ag2 0.500 0.500 0.000
Au1 0.000 0.000 0.000
Au2 0.750 0.250 0.500
```

=====

## ii
A plane-wave DFT calculation with GGA-PBE was carried out for a geometry-optimized Mg2AgAu structure.

## Properties
SG	C2/m, No. 12

Structure (CIF):
```
data_Mg2AgAu
_symmetry_space_group_name_H-M 'P 1'
_symmetry_Int_Tables_number 1
_cell_length_a 4.812
_cell_length_b 4.812
_cell_length_c 5.522
_cell_angle_alpha 98.61
_cell_angle_beta 98.61
_cell_angle_gamma 36.74
loop_
_symmetry_equiv_pos_as_xyz
'x,y,z'
loop_
_atom_site_label
_atom_site_fract_x
_atom_site_fract_y
_atom_site_fract_z
Mg1 0.246 0.246 0.244
Mg2 0.754 0.754 0.756
Ag1 0.000 0.000 0.500
Au1 0.500 0.500 0.000
```

=====

Most stable: ii

=====

## i
A plane-wave DFT calculation with GGA-PBE was carried out for a geometry-optimized MgAgAu structure.

## Properties
SG	P3m1, No. 156

Structure (CIF):
```
data_MgAgAu
_symmetry_space_group_name_H-M 'P 1'
_symmetry_Int_Tables_number 1
_cell_length_a 4.580
_cell_length_b 4.580
_cell_length_c 2.986
_cell_angle_alpha 90.00
_cell_angle_beta 90.00
_cell_angle_gamma 120.00
loop_
_symmetry_equiv_pos_as_xyz
'x,y,z'
loop_
_atom_site_label
_atom_site_fract_x
_atom_site_fract_y
_atom_site_fract_z
Mg1 0.000 0.000 0.000
Ag1 0.667 0.333 0.323
Au1 0.333 0.667 0.698
```

=====

## ii
A plane-wave DFT calculation with GGA-PBE was carried out for a geometry-optimized MgAgAu structure.

## Properties
SG	Imm2, No. 44

Structure (CIF):
```
data_MgAgAu
_symmetry_space_group_name_H-M 'P 1'
_symmetry_Int_Tables_number 1
_cell_length_a 5.121
_cell_length_b 5.121
_cell_length_c 5.121
_cell_angle_alpha 144.31
_cell_angle_beta 135.81
_cell_angle_gamma 58.05
loop_
_symmetry_equiv_pos_as_xyz
'x,y,z'
loop_
_atom_site_label
_atom_site_fract_x
_atom_site_fract_y
_atom_site_fract_z
Mg1 0.000 0.000 0.000
Ag1 0.331 0.331 0.000
Au1 0.658 0.658 0.000
```

=====

Most stable: ii